The following is a DFT calculation (PBE-GGA) of an optimized crystal structure of Tm3Sc2Al3.

Properties
ΔH_f (0 K)   -2.600 eV/f.u.
Mass density   6.12 g cm⁻³

Cell: 3.5246 5.0521 10.7816 Å, 103.55 99.41 90.00°
Closest atoms and distances in Å follow each position.
Fractional positions:
Tm 0.6236 0.6236 0.2473  6 Al 3.08-3.10, 4 Sc 3.41-3.42
Tm 0.3764 0.3764 0.7527  6 Al 3.08-3.10, 4 Sc 3.41-3.42
Tm 0.5000 0.0000 0.0000  8 Al 3.08-3.10
Sc 0.7348 0.2348 0.4696  2 Al 2.90, 4 Sc 3.14
Sc 0.2652 0.7652 0.5304  2 Al 2.90, 4 Sc 3.14
Al 0.1232 0.1232 0.2463  2 Sc 2.90, 6 Tm 3.08-3.10
Al 0.0000 0.5000 0.0000  8 Tm 3.08-3.10
Al 0.8768 0.8768 0.7537  2 Sc 2.90, 6 Tm 3.08-3.10